w | ## LiAl2Pb2 (PBE-GGA)

Data for a relaxed LiAl2Pb2 crystal.

Cell lengths 4.9801, 4.9801, 11.2774 Å; angles 90.00, 90.00, 90.00 degrees
Space group I4/mmm (No. 139)
Asymmetric unit:
Li 0.0000 0.0000 0.0000
Al 0.0000 0.0000 0.3877
Pb 0.0000 0.5000 0.2500



x | ## LiAl2Pb2 (PBE-GGA)

Data for a relaxed LiAl2Pb2 crystal.

Cell lengths 3.9289, 3.9289, 16.2515 Å; angles 90.00, 90.00, 90.00 degrees
Space group I4/mmm (No. 139)
Asymmetric unit:
Li 0.0000 0.0000 0.0000
Al 0.0000 0.5000 0.2500
Pb 0.0000 0.0000 0.3909



Which of them is the most stable, and which is the least stable? x and w, in that order.